(1)
! GGA-PBE ErPbO3, relaxed; values from VASP
! Total moment (μB/cell): 0.00
! Uncorrected formation energy (eV/atom): -2.182
&SYSTEM
  ibrav = 0, nat = 10, ntyp = 3
/
ATOMIC_SPECIES
Er 167.26 Er.upf
Pb 207.20 Pb.upf
O 16.00 O.upf
CELL_PARAMETERS angstrom
1.833 -7.089 0.000
1.833 7.089 0.000
0.000 0.000 5.851
ATOMIC_POSITIONS crystal
Er 0.194 0.806 0.750
Er 0.806 0.194 0.250
Pb 0.441 0.559 0.750
Pb 0.559 0.441 0.250
O 0.031 0.969 0.750
O 0.323 0.677 0.001
O 0.323 0.677 0.499
O 0.677 0.323 0.501
O 0.677 0.323 0.999
O 0.969 0.031 0.250

***

(2)
! GGA-PBE AlTcRh, relaxed; values from VASP
! Raw total energy (eV/atom): -7.57
! Total moment (μB/cell): 0.00
&SYSTEM
  ibrav = 0, nat = 3, ntyp = 3
/
ATOMIC_SPECIES
Al 26.98 Al.upf
Tc 98.00 Tc.upf
Rh 102.91 Rh.upf
CELL_PARAMETERS angstrom
-1.399 1.399 5.443
1.399 -1.399 5.443
1.399 1.399 -5.443
ATOMIC_POSITIONS crystal
Al 0.000 0.000 0.000
Tc 0.327 0.327 0.000
Rh 0.662 0.662 0.000

***

(3)
! GGA-PBE ZrAgF5, relaxed; values from VASP
! Total moment (μB/cell): 0.00
! Uncorrected formation energy (eV/atom): -2.902
&SYSTEM
  ibrav = 0, nat = 14, ntyp = 3
/
ATOMIC_SPECIES
Zr 91.22 Zr.upf
Ag 107.87 Ag.upf
F 19.00 F.upf
CELL_PARAMETERS angstrom
4.744 -3.540 0.000
4.744 3.540 0.000
-3.429 0.000 7.714
ATOMIC_POSITIONS crystal
Zr 0.000 0.000 0.000
Zr 0.000 0.000 0.500
Ag 0.498 0.502 0.750
Ag 0.502 0.498 0.250
F 0.005 0.995 0.750
F 0.210 0.251 0.608
F 0.251 0.210 0.108
F 0.269 0.700 0.997
F 0.300 0.731 0.503
F 0.700 0.269 0.497
F 0.731 0.300 0.003
F 0.749 0.790 0.892
F 0.790 0.749 0.392
F 0.995 0.005 0.250

***

(4)
! GGA-PBE Rb3IrRu, relaxed; values from VASP
! Raw total energy (eV/atom): -2.53
! Total moment (μB/cell): 1.72
&SYSTEM
  ibrav = 0, nat = 5, ntyp = 3
/
ATOMIC_SPECIES
Rb 85.47 Rb.upf
Ir 192.22 Ir.upf
Ru 101.07 Ru.upf
CELL_PARAMETERS angstrom
6.327 0.000 0.000
0.000 6.327 0.000
0.000 0.000 6.327
ATOMIC_POSITIONS crystal
Rb 0.000 0.000 0.500
Rb 0.000 0.500 0.000
Rb 0.500 0.000 0.000
Ir 0.000 0.000 0.000
Ru 0.500 0.500 0.500

***

(5)
! GGA-PBE Nd4CdAg2Pd, relaxed; values from VASP
! Raw total energy (eV/atom): -4.25
! Total moment (μB/cell): 0.00
&SYSTEM
  ibrav = 0, nat = 8, ntyp = 4
/
ATOMIC_SPECIES
Nd 144.24 Nd.upf
Cd 112.41 Cd.upf
Ag 107.87 Ag.upf
Pd 106.42 Pd.upf
CELL_PARAMETERS angstrom
2.653 1.532 8.607
-2.653 1.532 8.607
0.000 -3.064 8.607
ATOMIC_POSITIONS crystal
Nd 0.118 0.118 0.118
Nd 0.370 0.370 0.370
Nd 0.630 0.630 0.630
Nd 0.882 0.882 0.882
Cd 0.500 0.500 0.500
Ag 0.242 0.242 0.242
Ag 0.758 0.758 0.758
Pd 0.000 0.000 0.000

***

(6)
! GGA-PBE SrTaW2, relaxed; values from VASP
! Raw total energy (eV/atom): -9.10
! Total moment (μB/cell): 0.00
&SYSTEM
  ibrav = 0, nat = 4, ntyp = 3
/
ATOMIC_SPECIES
Sr 87.62 Sr.upf
Ta 180.95 Ta.upf
W 183.84 W.upf
CELL_PARAMETERS angstrom
2.994 0.000 0.000
0.000 4.231 0.000
-1.005 0.000 7.216
ATOMIC_POSITIONS crystal
Sr 0.000 0.000 0.000
Ta 0.665 0.500 0.348
W 0.132 0.000 0.526
W 0.516 0.500 0.680

***

(7)
! GGA-PBE PmAl3Co, relaxed; values from VASP
! Raw total energy (eV/atom): -5.14
! Total moment (μB/cell): 0.00
&SYSTEM
  ibrav = 0, nat = 20, ntyp = 3
/
ATOMIC_SPECIES
Pm 145.00 Pm.upf
Al 26.98 Al.upf
Co 58.93 Co.upf
CELL_PARAMETERS angstrom
8.254 0.000 0.000
0.000 4.082 0.000
0.000 0.000 10.787
ATOMIC_POSITIONS crystal
Pm 0.189 0.250 0.010
Pm 0.311 0.750 0.510
Pm 0.689 0.250 0.490
Pm 0.811 0.750 0.990
Al 0.050 0.250 0.581
Al 0.114 0.750 0.777
Al 0.146 0.750 0.226
Al 0.354 0.250 0.726
Al 0.386 0.250 0.277
Al 0.450 0.750 0.081
Al 0.550 0.250 0.919
Al 0.614 0.750 0.723
Al 0.646 0.750 0.274
Al 0.854 0.250 0.774
Al 0.886 0.250 0.223
Al 0.950 0.750 0.419
Co 0.113 0.250 0.356
Co 0.387 0.750 0.856
Co 0.613 0.250 0.144
Co 0.887 0.750 0.644

***

(8)
! GGA-PBE TaFeCo4, relaxed; values from VASP
! Raw total energy (eV/atom): -8.23
! Total moment (μB/cell): 6.88
&SYSTEM
  ibrav = 0, nat = 6, ntyp = 3
/
ATOMIC_SPECIES
Ta 180.95 Ta.upf
Fe 55.84 Fe.upf
Co 58.93 Co.upf
CELL_PARAMETERS angstrom
0.000 3.310 3.310
3.310 0.000 3.310
3.310 3.310 0.000
ATOMIC_POSITIONS crystal
Ta 0.000 0.000 0.000
Fe 0.750 0.750 0.750
Co 0.376 0.376 0.376
Co 0.376 0.376 0.873
Co 0.376 0.873 0.376
Co 0.873 0.376 0.376

***

(9)
! GGA-PBE Nd2NiP3Pt4, relaxed; values from VASP
! Raw total energy (eV/atom): -6.47
! Total moment (μB/cell): 0.00
&SYSTEM
  ibrav = 0, nat = 10, ntyp = 4
/
ATOMIC_SPECIES
Nd 144.24 Nd.upf
Ni 58.69 Ni.upf
P 30.97 P.upf
Pt 195.08 Pt.upf
CELL_PARAMETERS angstrom
4.264 0.000 0.000
0.000 4.264 0.000
0.000 0.000 9.691
ATOMIC_POSITIONS crystal
Nd 0.000 0.500 0.246
Nd 0.500 0.000 0.754
Ni 0.500 0.500 0.000
P 0.000 0.000 0.000
P 0.000 0.500 0.634
P 0.500 0.000 0.366
Pt 0.000 0.000 0.500
Pt 0.000 0.500 0.876
Pt 0.500 0.000 0.124
Pt 0.500 0.500 0.500

***

(10)
! GGA-PBE P2OsF2, relaxed; values from VASP
! Total moment (μB/cell): 0.00
! Uncorrected formation energy (eV/atom): 0.023
&SYSTEM
  ibrav = 0, nat = 10, ntyp = 3
/
ATOMIC_SPECIES
P 30.97 P.upf
Os 190.23 Os.upf
F 19.00 F.upf
CELL_PARAMETERS angstrom
7.294 0.000 0.000
0.000 7.294 0.000
0.000 0.000 2.455
ATOMIC_POSITIONS crystal
P 0.238 0.262 0.000
P 0.262 0.762 0.000
P 0.738 0.238 0.000
P 0.762 0.738 0.000
Os 0.000 0.000 0.500
Os 0.500 0.500 0.500
F 0.111 0.611 0.500
F 0.389 0.111 0.500
F 0.611 0.889 0.500
F 0.889 0.389 0.500